(1)
Tl2GeSb, relaxed, DFT GGA-PBE; theoretical density = 8.971 g/cm³; DOS(E_F) = 0.456 states/eV per atom; formation energy without anion corrections = 264.8 meV/atom; energy relative to the lowest polymorph listed for this composition = 0 meV/atom; space-group type = R-3m (166); calculated total energy = -12.4 eV per cell
1.0
1.6669 0.9624 11.6000
-1.6669 0.9624 11.6000
0.0000 -1.9247 11.6000
Tl Ge Sb
2 1 1
Direct
0.0853 0.0853 0.0853
0.9147 0.9147 0.9147
0.0000 0.0000 0.0000
0.5000 0.5000 0.5000

***

(2)
ZrFe2Re, relaxed, DFT GGA-PBE; theoretical density = 10.800 g/cm³; DOS(E_F) = 0.944 states/eV per atom; space-group type = P2/m (10); calculated total energy = -37.5 eV per cell; energy relative to the elements = 0.0942 eV/atom
1.0
2.7280 0.0000 0.0000
0.0000 4.1236 0.0000
-1.2555 0.0000 5.3186
Zr Fe Re
1 2 1
Direct
0.0000 0.0000 0.0000
0.2487 0.5000 0.7144
0.7513 0.5000 0.2856
0.5000 0.0000 0.5000

***

(3)
LaPu2Ru2, relaxed, DFT GGA-PBE; theoretical density = 11.142 g/cm³; DOS(E_F) = 2.426 states/eV per atom; energy relative to the lowest polymorph listed for this composition = 172 meV/atom; space-group type = I4_1md (109); calculated total energy = -103.6 eV per cell; energy relative to the elements = 0.0701 eV/atom
1.0
-3.2258 3.2258 5.9369
3.2258 -3.2258 5.9369
3.2258 3.2258 -5.9369
La Pu Ru
2 4 4
Direct
0.0000 0.0000 0.0000
0.7500 0.2500 0.5000
0.4447 0.1791 0.7343
0.4447 0.7104 0.2657
0.4604 0.6947 0.7657
0.9291 0.6947 0.2343
0.1820 0.4792 0.7029
0.2292 0.0263 0.7971
0.2292 0.4320 0.2029
0.7763 0.4792 0.2971